# LiCrO2 (PBE with a Hubbard U, optimized geometry)
data_LiCrO2
_chemical_formula_sum 'Li1 Cr1 O2'
_symmetry_space_group_name_H-M 'P 1'
_symmetry_Int_Tables_number 1
_cell_length_a 2.8867
_cell_length_b 2.8867
_cell_length_c 5.4670
_cell_angle_alpha 74.69
_cell_angle_beta 74.69
_cell_angle_gamma 60.00
loop_
_symmetry_equiv_pos_as_xyz
'x,y,z'
loop_
_atom_site_label
_atom_site_type_symbol
_atom_site_fract_x
_atom_site_fract_y
_atom_site_fract_z
Li1 Li 0.6720 0.6720 0.9840
Cr1 Cr 0.4997 0.4997 0.5009
O1 O 0.0846 0.0846 0.7463
O2 O 0.2437 0.2437 0.2688
# Energy above the most stable polymorph in this dataset, meV/atom: 390
# E_tot, eV per atom: -6.5091
# Symmetry: R3m (160)